Compound: AcPuAsAu
Source: Alexandria
Functional: PBE
Structure: relaxed

Output
* DOS(E_F): 2.90 states/eV per atom
* spin magnetization: 6.73 Bohr magnetons per cell
* formation enthalpy at 0 K: -0.72 eV/atom

extended XYZ file:
```
4
Lattice="0.000 3.766 3.766 3.766 0.000 3.766 3.766 3.766 0.000" Properties=species:S:1:pos:R:3 pbc="T T T"
Ac 0.000 0.000 0.000
Pu 3.766 3.766 3.766
As 5.650 5.650 5.650
Au 1.883 1.883 1.883
```